BaAlNi: relaxed, PBE.

Properties
Calculated total energy: -8.7 eV per cell
Space-group type: F-43m

Unit cell a=5.148 b=5.148 c=5.148 alpha=60.00 beta=60.00 gamma=60.00
Element x y z (fractional)
Ba 0.000 0.000 0.000
Al 0.250 0.250 0.250
Ni 0.750 0.750 0.750